No. 1
# Rb2CoRh2Se6 PBE optimized geometry
# formation energy without anion corrections	-0.58	eV per atom
# final energy	-0.171	hartree per atom
# density of states at the Fermi level	20.38	states/eV per cell
data_Rb2CoRh2Se6
_chemical_formula_sum 'Rb4 Co2 Rh4 Se12'
_space_group_name_H-M_alt 'C 1 2/m 1'
_space_group_IT_number 12
_cell_length_a 6.3958
_cell_length_b 11.3500
_cell_length_c 8.1487
_cell_angle_alpha 90.00
_cell_angle_beta 107.43
_cell_angle_gamma 90.00
loop_
_space_group_symop_operation_xyz
'x,y,z'
'-x,-y,-z'
'-x,y,-z'
'x,-y,z'
'x+1/2,y+1/2,z'
'-x+1/2,-y+1/2,-z'
'-x+1/2,y+1/2,-z'
'x+1/2,-y+1/2,z'
loop_
_atom_site_label
_atom_site_type_symbol
_atom_site_fract_x
_atom_site_fract_y
_atom_site_fract_z
Rb1 Rb 0.0000 0.1680 0.0000
Co1 Co 0.0000 0.0000 0.5000
Rh1 Rh 0.0000 0.3297 0.5000
Se1 Se 0.2186 0.1580 0.6605
Se2 Se 0.2322 0.5000 0.6571

=====

No. 2
# Cs3Dy2PuS6 PBE optimized geometry
# formation energy without anion corrections	-1.72	eV per atom
# final energy	-0.219	hartree per atom
# density of states at the Fermi level	24.65	states/eV per cell
data_Cs3Dy2PuS6
_chemical_formula_sum 'Cs6 Dy4 Pu2 S12'
_space_group_name_H-M_alt 'C 1 2/m 1'
_space_group_IT_number 12
_cell_length_a 7.1713
_cell_length_b 12.4207
_cell_length_c 8.3911
_cell_angle_alpha 90.00
_cell_angle_beta 106.55
_cell_angle_gamma 90.00
loop_
_space_group_symop_operation_xyz
'x,y,z'
'-x,-y,-z'
'-x,y,-z'
'x,-y,z'
'x+1/2,y+1/2,z'
'-x+1/2,-y+1/2,-z'
'-x+1/2,y+1/2,-z'
'x+1/2,-y+1/2,z'
loop_
_atom_site_label
_atom_site_type_symbol
_atom_site_fract_x
_atom_site_fract_y
_atom_site_fract_z
Cs1 Cs 0.0000 0.0000 0.0000
Cs2 Cs 0.0000 0.3329 0.0000
Dy1 Dy 0.0000 0.1666 0.5000
Pu1 Pu 0.0000 0.5000 0.5000
S1 S 0.2234 0.0000 0.6811
S2 S 0.2288 0.3315 0.6810

=====

No. 3
# TcGeBi2 PBE optimized geometry
# final energy	-0.181	hartree per atom
# energy of formation from the pure elements	3.1	eV per formula unit
# density of states at the Fermi level	19.94	states/eV per cell
data_TcGeBi2
_chemical_formula_sum 'Tc4 Ge4 Bi8'
_space_group_name_H-M_alt 'I -4 2 d'
_space_group_IT_number 122
_space_group_name_Hall 'I -4 2bw'
_cell_length_a 6.3659
_cell_length_b 6.3659
_cell_length_c 12.7604
_cell_angle_alpha 90.00
_cell_angle_beta 90.00
_cell_angle_gamma 90.00
loop_
_atom_site_label
_atom_site_type_symbol
_atom_site_fract_x
_atom_site_fract_y
_atom_site_fract_z
Tc1 Tc 0.0000 0.0000 0.0000
Ge1 Ge 0.0000 0.0000 0.5000
Bi1 Bi 0.2234 0.2500 0.1250